20
Lattice="5.611 -6.986 0.000 5.611 6.986 0.000 0.000 0.000 7.543" Properties=species:S:1:pos:R:3 comment="PBE-GGA Ho6In3Te, relaxed" spacegroup="Cmc2_1 (36)" pbc="T T T"
Ho 5.611 6.776 3.772
Ho 3.758 2.699 0.208
Ho 3.017 0.740 4.918
Ho 5.611 2.869 4.253
Ho 3.017 -0.740 1.146
Ho 7.464 2.699 0.208
Ho 3.758 -2.699 3.980
Ho 8.205 0.740 4.918
Ho 5.611 -2.869 0.482
Ho 8.205 -0.740 1.146
Ho 7.464 -2.699 3.980
Ho 5.611 -6.776 0.000
In 1.610 1.886 2.132
In 1.610 -1.886 5.904
In 5.611 0.168 6.736
In 5.611 -0.168 2.964
In 9.612 1.886 2.132
In 9.612 -1.886 5.904
Te 5.611 4.612 1.745
Te 5.611 -4.612 5.516


16
Lattice="3.004 -6.133 0.000 3.004 6.133 0.000 0.000 0.000 13.488" Properties=species:S:1:pos:R:3 comment="PBE-GGA Ho5InTe2, relaxed" spacegroup="Cmcm (63)" pbc="T T T"
Ho 3.004 5.393 8.241
Ho 3.004 5.393 11.991
Ho 3.004 1.449 3.372
Ho 3.004 1.449 7.473
Ho 3.004 1.449 12.760
Ho 3.004 -1.449 0.728
Ho 3.004 -1.449 6.016
Ho 3.004 -1.449 10.116
Ho 3.004 -5.393 1.497
Ho 3.004 -5.393 5.247
In 3.004 2.915 10.116
In 3.004 -2.915 3.372
Te 3.004 3.820 1.261
Te 3.004 3.820 5.483
Te 3.004 -3.820 8.005
Te 3.004 -3.820 12.228


6
Lattice="-2.104 3.082 6.752 2.104 -3.082 6.752 2.104 3.082 -6.752" Properties=species:S:1:pos:R:3 comment="PBE-GGA Ho3InTe2, relaxed" spacegroup="Immm (71)" pbc="T T T"
Ho 0.000 0.000 0.000
Ho 0.000 0.000 4.534
Ho 0.000 0.000 8.970
In 0.000 3.082 0.000
Te 2.104 0.000 2.279
Te 0.000 3.082 4.473


15
Lattice="11.281 0.000 0.000 -5.640 9.769 0.000 0.000 0.000 4.122" Properties=species:S:1:pos:R:3 comment="PBE-GGA Ho8InTe6, relaxed" spacegroup="P-3 (147)" pbc="T T T"
Ho -3.868 7.294 1.010
Ho 1.257 2.772 1.010
Ho 3.029 0.297 3.112
Ho 0.000 6.513 3.111
Ho 5.640 3.256 1.011
Ho 2.611 9.472 1.010
Ho 4.383 6.997 3.112
Ho 9.509 2.475 3.112
In 0.000 0.000 2.061
Te -1.230 4.619 1.060
Te -1.025 8.525 1.060
Te 3.385 3.375 3.062
Te 2.255 6.394 1.060
Te 6.665 1.244 3.062
Te 6.871 5.150 3.062


11
Lattice="3.786 -6.551 0.000 3.786 6.551 0.000 -2.511 0.000 7.766" Properties=species:S:1:pos:R:3 comment="PBE-GGA Ho3In2Te6, relaxed" spacegroup="C2/m (12)" pbc="T T T"
Ho 0.000 0.000 0.000
Ho 3.786 2.191 0.000
Ho 3.786 -2.191 0.000
In 2.530 4.362 3.883
In 2.530 -4.362 3.883
Te 1.251 2.203 1.771
Te -0.010 0.000 6.011
Te 1.251 -2.203 1.771
Te 3.810 2.203 5.995
Te 5.071 0.000 1.755
Te 3.810 -2.203 5.995


10
Lattice="4.436 0.000 0.000 0.000 12.546 3.656 0.000 -12.546 3.656" Properties=species:S:1:pos:R:3 comment="PBE-GGA HoInTe3, relaxed" spacegroup="Ama2 (40)" de_polymorph_ev_per_atom=0.000 pbc="T T T"
Ho 1.109 -8.189 3.656
Ho 3.327 8.189 3.656
In 1.109 -3.223 3.092
In 3.327 3.223 3.092
Te 1.109 -5.754 1.711
Te 1.109 1.898 1.879
Te 1.109 -2.868 5.853
Te 3.327 -1.898 1.879
Te 3.327 5.754 1.711
Te 3.327 2.868 5.853


20
Lattice="7.659 0.000 0.000 0.000 7.874 0.000 -5.909 0.000 11.062" Properties=species:S:1:pos:R:3 comment="PBE-GGA HoInTe3, relaxed" spacegroup="P2_1/c (14)" de_polymorph_ev_per_atom=0.120 pbc="T T T"
Ho -0.027 1.019 2.317
Ho -2.981 2.918 7.848
Ho 4.732 4.956 3.214
Ho 1.777 6.855 8.746
In 1.261 5.021 1.275
In -1.694 6.789 6.806
In 3.444 1.085 4.257
In 0.490 2.852 9.788
Te -4.760 1.505 10.347
Te -1.805 2.432 4.816
Te -3.498 5.246 9.800
Te -0.544 6.565 4.268
Te -1.262 0.531 9.052
Te 1.692 3.406 3.521
Te 0.058 4.468 7.541
Te 3.013 7.342 2.010
Te 2.294 1.309 6.794
Te 5.249 2.628 1.263
Te 3.555 5.442 6.246
Te 6.510 6.369 0.715


9
Lattice="7.702 -1.929 0.000 7.702 1.929 0.000 -5.377 0.000 9.146" Properties=species:S:1:pos:R:3 comment="PBE-GGA Ho6InTe2, relaxed" spacegroup="C2/m (12)" pbc="T T T"
Ho 0.638 0.000 1.659
Ho -1.460 0.000 7.398
Ho 2.571 0.000 4.573
Ho 7.456 0.000 4.574
Ho 11.487 0.000 1.748
Ho 9.389 0.000 7.487
In -2.688 0.000 4.573
Te 5.975 0.000 0.650
Te 4.053 0.000 8.497


So what do the calculations give for E_form (uncorrected)? Going down the list: -0.36 -0.50 -1.00 -0.87 -1.01 -0.84 -0.72 -0.56 eV per atom.
So what do the calculations give for M_tot? Going down the list: 0.0 0.0 0.0 0.0 0.0 0.0 0.0 0.0 μB/f.u..
So what do the calculations give for density? Going down the list: 8.21 7.98 8.20 8.04 6.42 5.41 6.60 8.31 g/cm3.